Compound: YbTmHg2
Source: Alexandria via LeMat-Bulk
Functional: PBE-GGA
Structure: optimized geometry

Properties
M_tot = 0.2 μB per cell
E_form = -12.50 kcal/mol of atoms
ρ = 12.09 Mg/m³
Symmetry = Fm-3m, No. 225

Structure (POSCAR):
```
YbTmHg2
1.0
5.246 0.000 0.000
2.623 4.543 0.000
2.623 1.514 4.283
Yb Tm Hg
1 1 2
direct
0.000 0.000 0.000
0.500 0.500 0.500
0.250 0.250 0.250
0.750 0.750 0.750
```